Record 1
Here is crystalline Rb3Os2PbO9 at its relaxed geometry from Alexandria. Energies are from PBE-GGA.

Geometry as CIF:
```
data_Rb3Os2PbO9
_chemical_formula_sum 'Rb3 Os2 Pb1 O9'
_cell_length_a 5.904
_cell_length_b 5.904
_cell_length_c 7.569
_cell_angle_alpha 90.00
_cell_angle_beta 90.00
_cell_angle_gamma 120.00
_symmetry_space_group_name_H-M 'P 1'
_symmetry_Int_Tables_number 1
loop_
_symmetry_equiv_pos_as_xyz
'x,y,z'
loop_
_atom_site_label
_atom_site_fract_x
_atom_site_fract_y
_atom_site_fract_z
_atom_site_occupancy
Rb1 0.333 0.667 0.667 1
Rb2 0.000 0.000 0.000 1
Rb3 0.667 0.333 0.333 1
Os1 0.333 0.667 0.146 1
Os2 0.667 0.333 0.854 1
Pb1 0.000 0.000 0.500 1
O1 0.816 0.184 0.712 1
O2 0.816 0.631 0.712 1
O3 0.369 0.184 0.712 1
O4 0.631 0.816 0.288 1
O5 0.184 0.369 0.288 1
O6 0.184 0.816 0.288 1
O7 0.500 0.000 0.000 1
O8 0.000 0.500 0.000 1
O9 0.500 0.500 0.000 1
```

Values from the calculation:
SG: P-3m1



Record 2
Here is crystalline RbOs2PbO8 at its relaxed geometry from Alexandria. Energies are from PBE-GGA.

Geometry as CIF:
```
data_RbOs2PbO8
_chemical_formula_sum 'Rb1 Os2 Pb1 O8'
_cell_length_a 5.988
_cell_length_b 5.988
_cell_length_c 8.491
_cell_angle_alpha 90.00
_cell_angle_beta 90.00
_cell_angle_gamma 120.00
_symmetry_space_group_name_H-M 'P 1'
_symmetry_Int_Tables_number 1
loop_
_symmetry_equiv_pos_as_xyz
'x,y,z'
loop_
_atom_site_label
_atom_site_fract_x
_atom_site_fract_y
_atom_site_fract_z
_atom_site_occupancy
Rb1 0.000 0.000 0.000 1
Os1 0.667 0.333 0.231 1
Os2 0.333 0.667 0.769 1
Pb1 0.000 0.000 0.500 1
O1 0.333 0.667 0.977 1
O2 0.350 0.243 0.302 1
O3 0.757 0.106 0.302 1
O4 0.667 0.333 0.023 1
O5 0.243 0.894 0.698 1
O6 0.650 0.757 0.698 1
O7 0.106 0.350 0.698 1
O8 0.894 0.650 0.302 1
```

Values from the calculation:
SG: P-3



Record 3
Here is crystalline Rb3Os2PbO8 at its relaxed geometry from Alexandria. Energies are from PBE-GGA.

Geometry as CIF:
```
data_Rb3Os2PbO8
_chemical_formula_sum 'Rb3 Os2 Pb1 O8'
_cell_length_a 6.282
_cell_length_b 6.282
_cell_length_c 8.266
_cell_angle_alpha 90.00
_cell_angle_beta 90.00
_cell_angle_gamma 120.00
_symmetry_space_group_name_H-M 'P 1'
_symmetry_Int_Tables_number 1
loop_
_symmetry_equiv_pos_as_xyz
'x,y,z'
loop_
_atom_site_label
_atom_site_fract_x
_atom_site_fract_y
_atom_site_fract_z
_atom_site_occupancy
Rb1 0.333 0.667 0.659 1
Rb2 0.667 0.333 0.341 1
Rb3 0.000 0.000 0.000 1
Os1 0.333 0.667 0.209 1
Os2 0.667 0.333 0.791 1
Pb1 0.000 0.000 0.500 1
O1 0.333 0.667 0.994 1
O2 0.667 0.333 0.006 1
O3 0.179 0.821 0.305 1
O4 0.821 0.179 0.695 1
O5 0.179 0.357 0.305 1
O6 0.821 0.643 0.695 1
O7 0.643 0.821 0.305 1
O8 0.357 0.179 0.695 1
```

Values from the calculation:
SG: P-3m1



no.,E_form (uncorrected) (eV/atom),density of states at the Fermi level (states/eV per cell)
1,-1.209,8.13
2,-1.088,8.36
3,-1.180,4.81